Here is an optimized crystal structure of CoNi2BiN from the Alexandria database. Energies are from GGA-PBE.

CIF file:
```
data_CoNi2BiN
_cell_length_a 4.047
_cell_length_b 4.047
_cell_length_c 3.865
_cell_angle_alpha 90.00
_cell_angle_beta 90.00
_cell_angle_gamma 90.00
_symmetry_space_group_name_H-M 'P 1'
_symmetry_Int_Tables_number 1
loop_
_symmetry_equiv_pos_as_xyz
'x,y,z'
loop_
_atom_site_label
_atom_site_type_symbol
_atom_site_fract_x
_atom_site_fract_y
_atom_site_fract_z
Ni1 Ni 0.000 0.500 0.000
Ni2 Ni 0.500 0.000 0.000
Co1 Co 0.000 0.000 0.500
Bi1 Bi 0.500 0.500 0.500
N1 N 0.000 0.000 0.000
```

DOS(E_F)	4.945	states/eV/cell
size of the total moment	0.1814	μB/atom
space-group type	P4/mmm
formation energy (no corrections)	0.1975	eV/atom